1.
# CsAlPdF6, optimized geometry, DFT PBE
# Formation energy without anion corrections, kJ per mole of atoms: -251.3
data_CsAlPdF6
_chemical_formula_sum 'Cs1 Al1 Pd1 F6'
_space_group_name_H-M_alt 'P 3 1 2'
_space_group_IT_number 149
_cell_length_a 5.5012
_cell_length_b 5.5012
_cell_length_c 6.4217
_cell_angle_alpha 90.00
_cell_angle_beta 90.00
_cell_angle_gamma 120.00
loop_
_space_group_symop_operation_xyz
'x,y,z'
'-y,x-y,z'
'-x+y,-x,z'
'-y,-x,-z'
'-x+y,y,-z'
'x,x-y,-z'
loop_
_atom_site_label
_atom_site_type_symbol
_atom_site_fract_x
_atom_site_fract_y
_atom_site_fract_z
_atom_site_occupancy
Cs1 Cs 0.0000 0.0000 0.0000 1
Al1 Al 0.6667 0.3333 0.5000 1
Pd1 Pd 0.3333 0.6667 0.5000 1
F1 F 0.4015 0.0503 0.6645 1

---

2.
# CsAlPdF6, optimized geometry, DFT PBE
# Formation energy without anion corrections, kJ per mole of atoms: -253.7
data_CsAlPdF6
_chemical_formula_sum 'Cs4 Al4 Pd4 F24'
_space_group_name_H-M_alt 'P n m a'
_space_group_IT_number 62
_cell_length_a 7.616
_cell_length_b 7.276
_cell_length_c 10.433
_cell_angle_alpha 90.00
_cell_angle_beta 90.00
_cell_angle_gamma 90.00
loop_
_space_group_symop_operation_xyz
'x,y,z'
'-x,-y,-z'
'-x+1/2,-y,z+1/2'
'x+1/2,y,-z+1/2'
'x+1/2,-y+1/2,-z+1/2'
'-x+1/2,y+1/2,z+1/2'
'-x,y+1/2,-z'
'x,-y+1/2,z'
loop_
_atom_site_label
_atom_site_type_symbol
_atom_site_fract_x
_atom_site_fract_y
_atom_site_fract_z
_atom_site_occupancy
Cs1 Cs 0.004 0.250 0.140 1
Al1 Al 0.000 0.000 0.500 1
Pd1 Pd 0.245 0.250 0.752 1
F1 F 0.005 0.250 0.476 1
F2 F 0.007 0.750 0.148 1
F3 F 0.163 0.016 0.627 1
F4 F 0.176 0.521 0.382 1

---

3.
# Cs2AlPtF6, optimized geometry, DFT PBE
# Formation energy without anion corrections, kJ per mole of atoms: -239.6
data_Cs2AlPtF6
_chemical_formula_sum 'Cs4 Al2 Pt2 F12'
_space_group_name_H-M_alt 'I 4/m m m'
_space_group_IT_number 139
_space_group_name_Hall '-I 4 2'
_cell_length_a 6.797
_cell_length_b 6.797
_cell_length_c 8.009
_cell_angle_alpha 90.00
_cell_angle_beta 90.00
_cell_angle_gamma 90.00
loop_
_atom_site_label
_atom_site_type_symbol
_atom_site_fract_x
_atom_site_fract_y
_atom_site_fract_z
_atom_site_occupancy
Cs1 Cs 0.000 0.500 0.250 1
Al1 Al 0.000 0.000 0.000 1
Pt1 Pt 0.000 0.000 0.500 1
F1 F 0.000 0.000 0.243 1
F2 F 0.188 0.188 0.000 1

---

4.
# CsPuAl2F8, optimized geometry, DFT PBE
# Formation energy without anion corrections, kJ per mole of atoms: -295.6
data_CsPuAl2F8
_chemical_formula_sum 'Cs3 Pu3 Al6 F24'
_space_group_name_H-M_alt 'R -3'
_space_group_IT_number 148
_space_group_name_Hall '-R 3'
_cell_length_a 5.1966
_cell_length_b 5.1966
_cell_length_c 30.6319
_cell_angle_alpha 90.00
_cell_angle_beta 90.00
_cell_angle_gamma 120.00
loop_
_atom_site_label
_atom_site_type_symbol
_atom_site_fract_x
_atom_site_fract_y
_atom_site_fract_z
_atom_site_occupancy
Cs1 Cs 0.0000 0.0000 0.0000 1
Pu1 Pu 0.0000 0.0000 0.5000 1
Al1 Al 0.0000 0.0000 0.2449 1
F1 F 0.0000 0.0000 0.3012 1
F2 F 0.0041 0.3697 0.1013 1